[1]
## NaVP2O7 (PBE+U)

Data for an optimized crystal structure of NaVP2O7.

Calculated values
Uncorrected energy in eV per atom: -7.195

Lattice parameters (Å, degrees): 4.9061 8.3210 7.1758 90.00 106.85 90.00
Fractional coordinates of all 22 atoms:
Na 0.2214 0.0000 0.2379
Na 0.7786 0.5000 0.7621
V 0.2213 0.5820 0.2325
V 0.7787 0.0820 0.7675
P 0.2298 0.8486 0.6154
P 0.3846 0.2779 0.9941
P 0.6154 0.7779 0.0059
P 0.7702 0.3486 0.3846
O 0.0289 0.3931 0.3183
O 0.1518 0.7471 0.4321
O 0.1578 0.1465 0.9537
O 0.2656 0.4471 0.9964
O 0.4063 0.9970 0.5914
O 0.4163 0.7687 0.1355
O 0.4314 0.7329 0.7829
O 0.5686 0.2329 0.2171
O 0.5837 0.2687 0.8645
O 0.5937 0.4970 0.4086
O 0.7344 0.9471 0.0036
O 0.8422 0.6465 0.0463
O 0.8482 0.2471 0.5679
O 0.9711 0.8931 0.6817

---

[2]
## NaVP2O7 (PBE+U)

Data for an optimized crystal structure of NaVP2O7.

Calculated values
Uncorrected energy in eV per atom: -7.194

Lattice parameters (Å, degrees): 7.4405 8.1037 9.7099 90.00 111.85 90.00
Fractional coordinates of all 44 atoms:
Na 0.2135 0.0289 0.2095
Na 0.2135 0.4711 0.7095
Na 0.7865 0.5289 0.2905
Na 0.7865 0.9711 0.7905
V 0.2398 0.0079 0.7507
V 0.2398 0.4921 0.2507
V 0.7602 0.5079 0.7493
V 0.7602 0.9921 0.2493
P 0.1731 0.7107 0.9529
P 0.1731 0.7893 0.4529
P 0.4271 0.2435 0.0451
P 0.4271 0.2565 0.5451
P 0.5729 0.7435 0.4549
P 0.5729 0.7565 0.9549
P 0.8269 0.2107 0.5471
P 0.8269 0.2893 0.0471
O 0.0345 0.5877 0.8462
O 0.0345 0.9123 0.3462
O 0.1338 0.6095 0.3999
O 0.1338 0.8905 0.8999
O 0.1932 0.6958 0.1151
O 0.1932 0.8042 0.6151
O 0.3123 0.1394 0.6009
O 0.3123 0.3606 0.1009
O 0.3199 0.2106 0.8788
O 0.3199 0.2894 0.3788
O 0.3762 0.6560 0.9378
O 0.3762 0.8440 0.4378
O 0.4875 0.0857 0.1392
O 0.4875 0.4143 0.6392
O 0.5125 0.5857 0.3608
O 0.5125 0.9143 0.8608
O 0.6238 0.1560 0.5622
O 0.6238 0.3440 0.0622
O 0.6801 0.7106 0.6212
O 0.6801 0.7894 0.1212
O 0.6877 0.6394 0.8991
O 0.6877 0.8606 0.3991
O 0.8068 0.1958 0.3849
O 0.8068 0.3042 0.8849
O 0.8662 0.1095 0.1001
O 0.8662 0.3905 0.6001
O 0.9655 0.0877 0.6538
O 0.9655 0.4123 0.1538

---

[3]
## NaVPO5 (PBE+U)

Data for an optimized crystal structure of NaVPO5.

Calculated values
Distance to the lowest polymorph of the same formula in eV/atom: 0.031

Lattice parameters (Å, degrees): 6.3383 6.3383 10.7668 90.00 90.00 90.00
Fractional coordinates of all 32 atoms:
Na 0.0000 0.0000 0.0000
Na 0.0000 0.5000 0.5000
Na 0.5000 0.0000 0.5000
Na 0.5000 0.5000 0.0000
V 0.2500 0.2500 0.2228
V 0.2500 0.2500 0.7228
V 0.7500 0.7500 0.2772
V 0.7500 0.7500 0.7772
P 0.2500 0.7500 0.2500
P 0.2500 0.7500 0.7500
P 0.7500 0.2500 0.2500
P 0.7500 0.2500 0.7500
O 0.0524 0.7447 0.3352
O 0.0524 0.7553 0.8352
O 0.2447 0.5524 0.6648
O 0.2447 0.9476 0.1648
O 0.2500 0.2500 0.3753
O 0.2500 0.2500 0.8753
O 0.2553 0.5524 0.1648
O 0.2553 0.9476 0.6648
O 0.4476 0.7447 0.8352
O 0.4476 0.7553 0.3352
O 0.5524 0.2447 0.6648
O 0.5524 0.2553 0.1648
O 0.7447 0.0524 0.3352
O 0.7447 0.4476 0.8352
O 0.7500 0.7500 0.1247
O 0.7500 0.7500 0.6247
O 0.7553 0.0524 0.8352
O 0.7553 0.4476 0.3352
O 0.9476 0.2447 0.1648
O 0.9476 0.2553 0.6648

---

[4]
## Na3V2P3O12 (PBE+U)

Data for an optimized crystal structure of Na3V2P3O12.

Calculated values
Distance to the lowest polymorph of the same formula in eV/atom: 0.000

Lattice parameters (Å, degrees): 8.8649 8.8649 8.9032 119.77 119.77 60.33
Fractional coordinates of all 40 atoms:
Na 0.0000 0.5000 0.0000
Na 0.1093 0.2500 0.2453
Na 0.2500 0.1093 0.7453
Na 0.5000 0.0000 0.5000
Na 0.7500 0.8907 0.2547
Na 0.8907 0.7500 0.7547
V 0.1503 0.6410 0.4394
V 0.3590 0.8497 0.0606
V 0.6410 0.1503 0.9394
V 0.8497 0.3590 0.5606
P 0.0433 0.9567 0.2500
P 0.2519 0.4523 0.7417
P 0.4523 0.2519 0.2417
P 0.5477 0.7481 0.7583
P 0.7481 0.5477 0.2583
P 0.9567 0.0433 0.7500
O 0.0193 0.1285 0.4227
O 0.0645 0.7819 0.2689
O 0.0868 0.4354 0.7472
O 0.1285 0.0193 0.9227
O 0.2004 0.4690 0.5554
O 0.2181 0.9355 0.2311
O 0.2714 0.4154 0.2532
O 0.2853 0.6265 0.9003
O 0.3735 0.7147 0.5997
O 0.4154 0.2714 0.7532
O 0.4354 0.0868 0.2472
O 0.4690 0.2004 0.0554
O 0.5310 0.7996 0.9446
O 0.5646 0.9132 0.7528
O 0.5846 0.7286 0.2468
O 0.6265 0.2853 0.4003
O 0.7147 0.3735 0.0997
O 0.7286 0.5846 0.7468
O 0.7819 0.0645 0.7689
O 0.7996 0.5310 0.4446
O 0.8715 0.9807 0.0773
O 0.9132 0.5646 0.2528
O 0.9355 0.2181 0.7311
O 0.9807 0.8715 0.5773

---

[5]
## Na2VPO6 (PBE+U)

Data for an optimized crystal structure of Na2VPO6.

Calculated values
Distance to the lowest polymorph of the same formula in eV/atom: 0.000

Lattice parameters (Å, degrees): 6.2666 12.5859 8.3152 90.00 118.53 90.00
Fractional coordinates of all 40 atoms:
Na 0.1168 0.1413 0.4227
Na 0.1168 0.3587 0.9227
Na 0.2579 0.0730 0.0629
Na 0.2579 0.4270 0.5629
Na 0.7421 0.5730 0.4371
Na 0.7421 0.9270 0.9371
Na 0.8832 0.6413 0.0773
Na 0.8832 0.8587 0.5773
V 0.4057 0.7199 0.6237
V 0.4057 0.7801 0.1237
V 0.5943 0.2199 0.8763
V 0.5943 0.2801 0.3763
P 0.2100 0.6143 0.8036
P 0.2100 0.8857 0.3036
P 0.7900 0.1143 0.6964
P 0.7900 0.3857 0.1964
O 0.0794 0.5088 0.7436
O 0.0794 0.9912 0.2436
O 0.0954 0.6991 0.6459
O 0.0954 0.8009 0.1459
O 0.2163 0.6556 0.9824
O 0.2163 0.8444 0.4824
O 0.3266 0.2184 0.2638
O 0.3266 0.2816 0.7638
O 0.4126 0.6416 0.4655
O 0.4126 0.8584 0.9655
O 0.4744 0.6127 0.8237
O 0.4744 0.8873 0.3237
O 0.5256 0.1127 0.6763
O 0.5256 0.3873 0.1763
O 0.5874 0.1416 0.0345
O 0.5874 0.3584 0.5345
O 0.6734 0.7184 0.2362
O 0.6734 0.7816 0.7362
O 0.7837 0.1556 0.5176
O 0.7837 0.3444 0.0176
O 0.9046 0.1991 0.8541
O 0.9046 0.3009 0.3541
O 0.9206 0.0088 0.7564
O 0.9206 0.4912 0.2564

---

[6]
## NaV2PO8 (PBE+U)

Data for an optimized crystal structure of NaV2PO8.

Calculated values
Uncorrected energy in eV per atom: -6.298

Lattice parameters (Å, degrees): 5.5369 5.5369 5.5369 106.74 106.74 115.08
Fractional coordinates of all 12 atoms:
Na 0.0000 0.0000 0.0000
V 0.5000 0.5000 0.0000
V 0.7500 0.2500 0.5000
P 0.2500 0.7500 0.5000
O 0.3382 0.1115 0.7733
O 0.3382 0.5649 0.2267
O 0.3582 0.0412 0.3170
O 0.4351 0.6618 0.7733
O 0.7241 0.0412 0.6830
O 0.8885 0.6618 0.2267
O 0.9588 0.2759 0.3170
O 0.9588 0.6418 0.6830

---

[7]
## NaVP2O (PBE+U)

Data for an optimized crystal structure of NaVP2O.

Calculated values
Distance to the lowest polymorph of the same formula in eV/atom: 1.664

Lattice parameters (Å, degrees): 4.7135 4.7135 3.8633 90.00 90.00 90.00
Fractional coordinates of all 5 atoms:
Na 0.0000 0.0000 0.0000
V 0.5000 0.5000 0.5000
P 0.0000 0.5000 0.0000
P 0.5000 0.0000 0.0000
O 0.0000 0.0000 0.5000

---

[8]
## Na2VPO6 (PBE+U)

Data for an optimized crystal structure of Na2VPO6.

Calculated values
Distance to the lowest polymorph of the same formula in eV/atom: 0.018

Lattice parameters (Å, degrees): 11.6205 4.9477 9.0459 90.00 90.00 90.00
Fractional coordinates of all 40 atoms:
Na 0.0771 0.0179 0.0000
Na 0.1212 0.5357 0.2915
Na 0.3788 0.0357 0.7915
Na 0.4229 0.5179 0.5000
Na 0.5771 0.4821 0.0000
Na 0.6212 0.9643 0.2915
Na 0.8788 0.4643 0.7915
Na 0.9229 0.9821 0.5000
V 0.1298 0.4517 0.6656
V 0.3702 0.9517 0.1656
V 0.6298 0.0483 0.6656
V 0.8702 0.5483 0.1656
P 0.2245 0.0687 0.4710
P 0.2755 0.5687 0.9710
P 0.7245 0.4313 0.4710
P 0.7755 0.9313 0.9710
O 0.0196 0.6600 0.6337
O 0.0702 0.2313 0.7806
O 0.1033 0.2150 0.4800
O 0.2124 0.7290 0.0960
O 0.2231 0.7634 0.4923
O 0.2257 0.6414 0.8140
O 0.2743 0.1414 0.3140
O 0.2769 0.2634 0.9923
O 0.2876 0.2290 0.5960
O 0.3967 0.7150 0.9800
O 0.4298 0.7313 0.2806
O 0.4804 0.1600 0.1337
O 0.5196 0.8400 0.6337
O 0.5702 0.2687 0.7806
O 0.6033 0.2850 0.4800
O 0.7124 0.7710 0.0960
O 0.7231 0.7366 0.4923
O 0.7257 0.8586 0.8140
O 0.7743 0.3586 0.3140
O 0.7769 0.2366 0.9923
O 0.7876 0.2710 0.5960
O 0.8967 0.7850 0.9800
O 0.9298 0.7687 0.2806
O 0.9804 0.3400 0.1337

---

[9]
## NaVPO4 (PBE+U)

Data for an optimized crystal structure of NaVPO4.

Calculated values
Uncorrected energy in eV per atom: -7.014

Lattice parameters (Å, degrees): 5.1222 5.1222 6.8533 90.00 90.00 116.23
Fractional coordinates of all 14 atoms:
Na 0.1850 0.8150 0.7500
Na 0.8150 0.1850 0.2500
V 0.5000 0.5000 0.0000
V 0.5000 0.5000 0.5000
P 0.1585 0.8415 0.2500
P 0.8415 0.1585 0.7500
O 0.1852 0.2864 0.7500
O 0.2592 0.7408 0.0669
O 0.2592 0.7408 0.4331
O 0.2864 0.1852 0.2500
O 0.7136 0.8148 0.7500
O 0.7408 0.2592 0.5669
O 0.7408 0.2592 0.9331
O 0.8148 0.7136 0.2500

---

[10]
## NaVPO6 (PBE+U)

Data for an optimized crystal structure of NaVPO6.

Calculated values
Uncorrected energy in eV per atom: -6.554

Lattice parameters (Å, degrees): 4.8398 4.8398 5.1551 90.00 90.00 120.00
Fractional coordinates of all 9 atoms:
Na 0.0000 0.0000 0.0000
V 0.3333 0.6667 0.5000
P 0.6667 0.3333 0.5000
O 0.3934 0.0293 0.6888
O 0.3934 0.3641 0.3112
O 0.6359 0.0293 0.3112
O 0.6359 0.6066 0.6888
O 0.9707 0.3641 0.6888
O 0.9707 0.6066 0.3112

---

[11]
## NaP2W7O25 (PBE+U)

Data for an optimized crystal structure of NaP2W7O25.

Calculated values
Uncorrected energy in eV per atom: -7.396

Lattice parameters (Å, degrees): 5.3828 6.7472 14.0351 95.92 100.76 90.31
Fractional coordinates of all 35 atoms:
Na 0.0000 0.0000 0.0000
P 0.5172 0.8038 0.0826
P 0.8793 0.4030 0.9130
W 0.0374 0.5268 0.1585
W 0.1367 0.9215 0.3838
W 0.2482 0.3081 0.6082
W 0.3544 0.6911 0.8360
W 0.5809 0.2204 0.2653
W 0.6912 0.6092 0.4934
W 0.7966 0.0014 0.7224
O 0.0784 0.5433 0.8878
O 0.0940 0.7072 0.2669
O 0.1113 0.8745 0.7947
O 0.1877 0.1049 0.4944
O 0.2640 0.3184 0.2049
O 0.2931 0.5169 0.7265
O 0.3436 0.6481 0.1096
O 0.3878 0.7417 0.4482
O 0.4000 0.0373 0.3291
O 0.4117 0.8450 0.9739
O 0.5005 0.1291 0.6853
O 0.5041 0.4309 0.5648
O 0.5108 0.0065 0.1421
O 0.6165 0.4982 0.8986
O 0.6191 0.8343 0.8048
O 0.6273 0.4083 0.3719
O 0.7578 0.8064 0.6198
O 0.7592 0.3757 0.1917
O 0.7941 0.7363 0.0869
O 0.8693 0.1948 0.8555
O 0.8823 0.7826 0.4265
O 0.8879 0.0761 0.3083
O 0.9595 0.3619 0.0217
O 0.9845 0.4722 0.5425
O 0.9963 0.1731 0.6706

---

[12]
## NaPWO2 (PBE+U)

Data for an optimized crystal structure of NaPWO2.

Calculated values
Distance to the lowest polymorph of the same formula in eV/atom: 2.071

Lattice parameters (Å, degrees): 3.9797 3.9797 4.7382 90.00 90.00 90.00
Fractional coordinates of all 5 atoms:
Na 0.0000 0.0000 0.0000
P 0.0000 0.0000 0.5000
W 0.5000 0.5000 0.5000
O 0.0000 0.5000 0.0000
O 0.5000 0.0000 0.0000

---

[13]
## NaPW2O8 (PBE+U)

Data for an optimized crystal structure of NaPW2O8.

Calculated values
Uncorrected energy in eV per atom: -7.152

Lattice parameters (Å, degrees): 6.8630 5.4692 9.1518 90.00 99.40 90.00
Fractional coordinates of all 24 atoms:
Na 0.2299 0.2500 0.0656
Na 0.7701 0.7500 0.9344
P 0.2801 0.7500 0.8750
P 0.7199 0.2500 0.1250
W 0.1394 0.2500 0.4079
W 0.4476 0.7500 0.2538
W 0.5524 0.2500 0.7462
W 0.8606 0.7500 0.5921
O 0.0000 0.0000 0.5000
O 0.0000 0.5000 0.5000
O 0.0683 0.7500 0.7892
O 0.2571 0.7500 0.0423
O 0.2783 0.0078 0.3015
O 0.2783 0.4922 0.3015
O 0.3618 0.2500 0.5787
O 0.3923 0.5154 0.8468
O 0.3923 0.9846 0.8468
O 0.6077 0.0154 0.1532
O 0.6077 0.4846 0.1532
O 0.6382 0.7500 0.4213
O 0.7217 0.5078 0.6985
O 0.7217 0.9922 0.6985
O 0.7429 0.2500 0.9577
O 0.9317 0.2500 0.2108

---

[14]
## NaPWO2 (PBE+U)

Data for an optimized crystal structure of NaPWO2.

Calculated values
Distance to the lowest polymorph of the same formula in eV/atom: 0.000

Lattice parameters (Å, degrees): 3.9270 3.9270 4.9657 90.00 90.00 90.00
Fractional coordinates of all 5 atoms:
Na 0.0000 0.0000 0.0000
P 0.5000 0.5000 0.0000
W 0.5000 0.5000 0.5000
O 0.0000 0.5000 0.5000
O 0.5000 0.0000 0.5000